# CsNbCu3 (PBE, relaxed)
data_CsNbCu3
_chemical_formula_sum 'Cs1 Nb1 Cu3'
_cell_length_a 5.126
_cell_length_b 5.126
_cell_length_c 5.126
_cell_angle_alpha 90.00
_cell_angle_beta 90.00
_cell_angle_gamma 90.00
_symmetry_space_group_name_H-M 'P 1'
_symmetry_Int_Tables_number 1
loop_
_symmetry_equiv_pos_as_xyz
'x,y,z'
loop_
_atom_site_label
_atom_site_type_symbol
_atom_site_fract_x
_atom_site_fract_y
_atom_site_fract_z
Cs1 Cs 0.000 0.000 0.000
Nb1 Nb 0.500 0.500 0.500
Cu1 Cu 0.000 0.500 0.000
Cu2 Cu 0.000 0.000 0.500
Cu3 Cu 0.500 0.000 0.000
# total magnetic moment	3.019	μB/f.u.
# symmetry	Pm-3m, No. 221
# mass density	5.134	Mg/m³
# energy of formation	2.299	eV/atom
# relative energy among the computed polymorphs	1238	meV/atom

***

# CsNbCuPt2 (PBE, relaxed)
data_CsNbCuPt2
_chemical_formula_sum 'Cs1 Nb1 Cu1 Pt2'
_cell_length_a 5.131
_cell_length_b 5.258
_cell_length_c 5.131
_cell_angle_alpha 90.00
_cell_angle_beta 90.00
_cell_angle_gamma 90.00
_symmetry_space_group_name_H-M 'P 1'
_symmetry_Int_Tables_number 1
loop_
_symmetry_equiv_pos_as_xyz
'x,y,z'
loop_
_atom_site_label
_atom_site_type_symbol
_atom_site_fract_x
_atom_site_fract_y
_atom_site_fract_z
Cs1 Cs 0.000 0.000 0.000
Nb1 Nb 0.000 0.500 0.000
Cu1 Cu 0.500 0.500 0.500
Pt1 Pt 0.000 0.000 0.500
Pt2 Pt 0.500 0.000 0.000
# total magnetic moment	2.659	μB/f.u.
# symmetry	P4/mmm, No. 123
# mass density	8.150	Mg/m³
# energy of formation	2.565	eV/atom

***

# CsNbCuRh2 (PBE, relaxed)
data_CsNbCuRh2
_chemical_formula_sum 'Cs1 Nb1 Cu1 Rh2'
_cell_length_a 4.743
_cell_length_b 5.097
_cell_length_c 4.743
_cell_angle_alpha 90.00
_cell_angle_beta 90.00
_cell_angle_gamma 90.00
_symmetry_space_group_name_H-M 'P 1'
_symmetry_Int_Tables_number 1
loop_
_symmetry_equiv_pos_as_xyz
'x,y,z'
loop_
_atom_site_label
_atom_site_type_symbol
_atom_site_fract_x
_atom_site_fract_y
_atom_site_fract_z
Cs1 Cs 0.000 0.500 0.000
Nb1 Nb 0.500 0.500 0.500
Rh1 Rh 0.000 0.000 0.500
Rh2 Rh 0.500 0.000 0.000
Cu1 Cu 0.000 0.000 0.000
# total magnetic moment	2.504	μB/f.u.
# symmetry	P4/mmm, No. 123
# mass density	7.171	Mg/m³
# energy of formation	1.712	eV/atom

***

# Cs2NbCu2S6 (PBE, relaxed)
data_Cs2NbCu2S6
_chemical_formula_sum 'Cs2 Nb1 Cu2 S6'
_cell_length_a 7.038
_cell_length_b 7.038
_cell_length_c 8.240
_cell_angle_alpha 64.72
_cell_angle_beta 64.72
_cell_angle_gamma 60.00
_symmetry_space_group_name_H-M 'P 1'
_symmetry_Int_Tables_number 1
loop_
_symmetry_equiv_pos_as_xyz
'x,y,z'
loop_
_atom_site_label
_atom_site_type_symbol
_atom_site_fract_x
_atom_site_fract_y
_atom_site_fract_z
Cs1 Cs 0.776 0.776 0.671
Cs2 Cs 0.224 0.224 0.329
Nb1 Nb 0.000 0.000 0.000
Cu1 Cu 0.398 0.398 0.805
Cu2 Cu 0.602 0.602 0.195
S1 S 0.772 0.772 0.217
S2 S 0.240 0.772 0.217
S3 S 0.772 0.240 0.217
S4 S 0.228 0.760 0.783
S5 S 0.760 0.228 0.783
S6 S 0.228 0.228 0.783
# raw formation energy	-628	kJ/mol of formula units
# total magnetic moment	0.000	μB/f.u.
# symmetry	R-3m, No. 166
# mass density	3.662	Mg/m³